# NaGaReO6 | Alexandria via LeMat-Bulk | PBE | optimized geometry
# uncorrected formation energy = -1.416 eV/atom
# raw total energy = -6.59 eV/atom
data_NaGaReO6
_space_group_name_H-M_alt 'P 42 n m'
_space_group_IT_number 102
_cell_length_a 4.8404
_cell_length_b 4.8404
_cell_length_c 9.2951
_cell_angle_alpha 90.00
_cell_angle_beta 90.00
_cell_angle_gamma 90.00
loop_
_space_group_symop_operation_xyz
'x,y,z'
'-y+1/2,x+1/2,z+1/2'
'-x,-y,z'
'y+1/2,-x+1/2,z+1/2'
'-x+1/2,y+1/2,z+1/2'
'y,x,z'
'x+1/2,-y+1/2,z+1/2'
'-y,-x,z'
loop_
_atom_site_label
_atom_site_fract_x
_atom_site_fract_y
_atom_site_fract_z
_atom_site_occupancy
Na1 0.0000 0.0000 0.0000 1
Ga1 0.0000 0.0000 0.3283 1
Re1 0.0000 0.0000 0.6680 1
O1 0.1695 0.1695 0.5039 1
O2 0.2135 0.2135 0.7927 1
O3 0.2248 0.2248 0.1885 1



# SrBiTe3 | Alexandria via LeMat-Bulk | PBE | optimized geometry
# uncorrected formation energy = 0.299 eV/atom
# raw total energy = -2.70 eV/atom
# relative energy among the computed polymorphs = 621.3 meV/atom
data_SrBiTe3
_space_group_name_H-M_alt 'P m -3 m'
_space_group_IT_number 221
_space_group_name_Hall '-P 4 2 3'
_cell_length_a 6.0556
_cell_length_b 6.0556
_cell_length_c 6.0556
_cell_angle_alpha 90.00
_cell_angle_beta 90.00
_cell_angle_gamma 90.00
loop_
_atom_site_label
_atom_site_fract_x
_atom_site_fract_y
_atom_site_fract_z
_atom_site_occupancy
Sr1 0.0000 0.0000 0.0000 1
Bi1 0.5000 0.5000 0.5000 1
Te1 0.0000 0.0000 0.5000 1



# BaZnPb2S | Alexandria via LeMat-Bulk | PBE | optimized geometry
# uncorrected formation energy = 1.078 eV/atom
# raw total energy = -1.87 eV/atom
# relative energy among the computed polymorphs = 1146.5 meV/atom
data_BaZnPb2S
_space_group_name_H-M_alt 'P 4/m m m'
_space_group_IT_number 123
_space_group_name_Hall '-P 4 2'
_cell_length_a 6.7184
_cell_length_b 6.7184
_cell_length_c 5.6719
_cell_angle_alpha 90.00
_cell_angle_beta 90.00
_cell_angle_gamma 90.00
loop_
_atom_site_label
_atom_site_fract_x
_atom_site_fract_y
_atom_site_fract_z
_atom_site_occupancy
Ba1 0.0000 0.0000 0.0000 1
Zn1 0.0000 0.0000 0.5000 1
Pb1 0.0000 0.5000 0.0000 1
S1 0.5000 0.5000 0.5000 1



# KInGe | Alexandria via LeMat-Bulk | PBE | optimized geometry
# formation enthalpy at 0 K = 77 meV per atom
# raw total energy = -2.74 eV/atom
data_KInGe
_space_group_name_H-M_alt 'C m c m'
_space_group_IT_number 63
_space_group_name_Hall '-C 2c 2'
_cell_length_a 6.9180
_cell_length_b 8.9789
_cell_length_c 6.7199
_cell_angle_alpha 90.00
_cell_angle_beta 90.00
_cell_angle_gamma 90.00
loop_
_atom_site_label
_atom_site_fract_x
_atom_site_fract_y
_atom_site_fract_z
_atom_site_occupancy
K1 0.0000 0.1274 0.2500 1
In1 0.0000 0.5000 0.0000 1
Ge1 0.0000 0.2750 0.7500 1



# Pu2InPb | Alexandria via LeMat-Bulk | PBE | optimized geometry
# formation enthalpy at 0 K = -164 meV per atom
# raw total energy = -8.94 eV/atom
data_Pu2InPb
_space_group_name_H-M_alt 'P 4/m m m'
_space_group_IT_number 123
_space_group_name_Hall '-P 4 2'
_cell_length_a 4.7175
_cell_length_b 4.7175
_cell_length_c 4.7965
_cell_angle_alpha 90.00
_cell_angle_beta 90.00
_cell_angle_gamma 90.00
loop_
_atom_site_label
_atom_site_fract_x
_atom_site_fract_y
_atom_site_fract_z
_atom_site_occupancy
Pu1 0.0000 0.5000 0.0000 1
In1 0.0000 0.0000 0.5000 1
Pb1 0.5000 0.5000 0.5000 1



# La5In2Rh | Alexandria via LeMat-Bulk | PBE | optimized geometry
# formation enthalpy at 0 K = -488 meV per atom
# raw total energy = -5.17 eV/atom
data_La5In2Rh
_space_group_name_H-M_alt 'P b a m'
_space_group_IT_number 55
_cell_length_a 8.1483
_cell_length_b 12.6554
_cell_length_c 4.9753
_cell_angle_alpha 90.00
_cell_angle_beta 90.00
_cell_angle_gamma 90.00
loop_
_space_group_symop_operation_xyz
'x,y,z'
'-x,-y,-z'
'-x,-y,z'
'x,y,-z'
'x+1/2,-y+1/2,-z'
'-x+1/2,y+1/2,z'
'-x+1/2,y+1/2,-z'
'x+1/2,-y+1/2,z'
loop_
_atom_site_label
_atom_site_fract_x
_atom_site_fract_y
_atom_site_fract_z
_atom_site_occupancy
La1 0.0000 0.0000 0.0000 1
La2 0.1297 0.2986 0.0000 1
La3 0.1860 0.5718 0.5000 1
In1 0.0829 0.8331 0.5000 1
Rh1 0.0000 0.5000 0.0000 1



# Sr3HfAg | Alexandria via LeMat-Bulk | PBE | optimized geometry
# formation enthalpy at 0 K = 999 meV per atom
# raw total energy = -2.57 eV/atom
# relative energy among the computed polymorphs = 355.0 meV/atom
data_Sr3HfAg
_space_group_name_H-M_alt 'P m -3 m'
_space_group_IT_number 221
_space_group_name_Hall '-P 4 2 3'
_cell_length_a 6.2220
_cell_length_b 6.2220
_cell_length_c 6.2220
_cell_angle_alpha 90.00
_cell_angle_beta 90.00
_cell_angle_gamma 90.00
loop_
_atom_site_label
_atom_site_fract_x
_atom_site_fract_y
_atom_site_fract_z
_atom_site_occupancy
Sr1 0.0000 0.0000 0.5000 1
Hf1 0.0000 0.0000 0.0000 1
Ag1 0.5000 0.5000 0.5000 1



# BaMgTl2In | Alexandria via LeMat-Bulk | PBE | optimized geometry
# formation enthalpy at 0 K = -275 meV per atom
# raw total energy = -2.47 eV/atom
data_BaMgTl2In
_space_group_name_H-M_alt 'I -4 m 2'
_space_group_IT_number 119
_space_group_name_Hall 'I -4 -2'
_cell_length_a 4.9031
_cell_length_b 4.9031
_cell_length_c 13.0319
_cell_angle_alpha 90.00
_cell_angle_beta 90.00
_cell_angle_gamma 90.00
loop_
_atom_site_label
_atom_site_fract_x
_atom_site_fract_y
_atom_site_fract_z
_atom_site_occupancy
Ba1 0.0000 0.0000 0.0000 1
Mg1 0.0000 0.5000 0.7500 1
Tl1 0.0000 0.0000 0.3848 1
In1 0.0000 0.5000 0.2500 1



# OsNCl5 | Alexandria via LeMat-Bulk | PBE | optimized geometry
# uncorrected formation energy = 0.520 eV/atom
# raw total energy = -3.59 eV/atom
data_OsNCl5
_space_group_name_H-M_alt 'C 1 2/c 1'
_space_group_IT_number 15
_cell_length_a 8.9057
_cell_length_b 19.9085
_cell_length_c 6.1520
_cell_angle_alpha 90.00
_cell_angle_beta 132.60
_cell_angle_gamma 90.00
loop_
_space_group_symop_operation_xyz
'x,y,z'
'-x,-y,-z'
'-x,y,-z+1/2'
'x,-y,z+1/2'
'x+1/2,y+1/2,z'
'-x+1/2,-y+1/2,-z'
'-x+1/2,y+1/2,-z+1/2'
'x+1/2,-y+1/2,z+1/2'
loop_
_atom_site_label
_atom_site_fract_x
_atom_site_fract_y
_atom_site_fract_z
_atom_site_occupancy
Os1 0.0000 0.1646 0.2500 1
N1 0.2500 0.2500 0.0000 1
Cl1 0.0000 0.0521 0.2500 1
Cl2 0.2034 0.1582 0.1400 1
Cl3 0.2153 0.3132 0.2657 1



# Nd3Y5Sb8 | Alexandria via LeMat-Bulk | PBE | optimized geometry
# uncorrected formation energy = -1.170 eV/atom
# raw total energy = -6.15 eV/atom
data_Nd3Y5Sb8
_space_group_name_H-M_alt 'R -3 m'
_space_group_IT_number 166
_space_group_name_Hall '-R 3 2"'
_cell_length_a 8.8887
_cell_length_b 8.8887
_cell_length_c 21.7495
_cell_angle_alpha 90.00
_cell_angle_beta 90.00
_cell_angle_gamma 120.00
loop_
_atom_site_label
_atom_site_fract_x
_atom_site_fract_y
_atom_site_fract_z
_atom_site_occupancy
Nd1 0.0000 0.5000 0.0000 1
Y1 0.0000 0.0000 0.0000 1
Y2 0.0000 0.0000 0.5000 1
Y3 0.0000 0.5000 0.5000 1
Sb1 0.0000 0.0000 0.2472 1
Sb2 0.0038 0.5019 0.7519 1



# AcGa2Sn | Alexandria via LeMat-Bulk | PBE | optimized geometry
# formation enthalpy at 0 K = -309 meV per atom
# raw total energy = -3.85 eV/atom
# relative energy among the computed polymorphs = 171.1 meV/atom
data_AcGa2Sn
_space_group_name_H-M_alt 'P 4/m m m'
_space_group_IT_number 123
_space_group_name_Hall '-P 4 2'
_cell_length_a 3.8619
_cell_length_b 3.8619
_cell_length_c 7.0045
_cell_angle_alpha 90.00
_cell_angle_beta 90.00
_cell_angle_gamma 90.00
loop_
_atom_site_label
_atom_site_fract_x
_atom_site_fract_y
_atom_site_fract_z
_atom_site_occupancy
Ac1 0.0000 0.0000 0.0000 1
Ga1 0.5000 0.5000 0.3053 1
Sn1 0.0000 0.0000 0.5000 1



# NaWS2 | Alexandria via LeMat-Bulk | PBE | optimized geometry
# uncorrected formation energy = -0.032 eV/atom
# raw total energy = -5.66 eV/atom
# relative energy among the computed polymorphs = 418.2 meV/atom
data_NaWS2
_space_group_name_H-M_alt 'F m -3 m'
_space_group_IT_number 225
_space_group_name_Hall '-F 4 2 3'
_cell_length_a 6.2288
_cell_length_b 6.2288
_cell_length_c 6.2288
_cell_angle_alpha 90.00
_cell_angle_beta 90.00
_cell_angle_gamma 90.00
loop_
_atom_site_label
_atom_site_fract_x
_atom_site_fract_y
_atom_site_fract_z
_atom_site_occupancy
Na1 0.0000 0.0000 0.0000 1
W1 0.0000 0.0000 0.5000 1
S1 0.2500 0.2500 0.2500 1